Record 1
This record from the Alexandria database describes Pr4SmHo3 after structural relaxation. The functional is GGA-PBE.

Cell lengths 11.710, 7.364, 6.345 Å; angles 90.00, 90.00, 90.00 degrees
Fractional positions:
Pr  0.000  0.129  0.000
Pr  0.000  0.870  0.510
Pr  0.246  0.127  0.341
Pr  0.254  0.873  0.841
Pr  0.500  0.130  0.010
Pr  0.500  0.871  0.500
Pr  0.746  0.873  0.841
Pr  0.754  0.127  0.341
Sm  0.000  0.624  0.008
Sm  0.500  0.376  0.508
Ho  0.000  0.381  0.506
Ho  0.250  0.380  0.839
Ho  0.250  0.620  0.339
Ho  0.500  0.619  0.006
Ho  0.750  0.380  0.839
Ho  0.750  0.620  0.339

Computed properties:
The value obtained for the final energy is -74.64 eV/cell. The energy of formation from the pure elements comes out at 32 meV/atom. The spin magnetization comes out at 0.00 μB/atom.


Record 2
This record from the Alexandria database describes La3Si4Tc4 after structural relaxation. The functional is GGA-PBE.

Cell lengths 6.616, 6.616, 6.616 Å; angles 109.47, 109.47, 109.47 degrees
Fractional positions:
La  0.000  0.500  0.500
La  0.500  0.000  0.500
La  0.500  0.500  0.000
Si  0.000  0.000  0.360
Si  0.000  0.360  0.000
Si  0.360  0.000  0.000
Si  0.640  0.640  0.640
Tc  0.000  0.000  0.728
Tc  0.000  0.728  0.000
Tc  0.272  0.272  0.272
Tc  0.728  0.000  0.000

Computed properties:
As for the raw formation energy: -52.72 kJ per mole of atoms. The value obtained for the final energy is -83.95 eV/cell. The spin magnetization comes out at 0.00 μB/atom.


Record 3
This record from the Alexandria database describes Tb6PrIn2 after structural relaxation. The functional is GGA-PBE.

Cell lengths 11.279, 11.279, 11.279 Å; angles 150.83, 150.83, 41.73 degrees
Fractional positions:
Tb  0.127  0.738  0.000
Tb  0.250  0.750  0.500
Tb  0.262  0.262  0.389
Tb  0.738  0.127  0.000
Tb  0.750  0.250  0.500
Tb  0.873  0.873  0.611
Pr  0.500  0.500  0.000
In  0.191  0.191  0.000
In  0.809  0.809  0.000

Computed properties:
The value obtained for the final energy is -33.49 eV/cell. The energy of formation from the pure elements comes out at 505 meV/atom. The spin magnetization comes out at 0.00 μB/atom.